1.
# UCF (GGA-PBE, optimized geometry)
data_UCF
_cell_length_a 3.6179
_cell_length_b 3.6179
_cell_length_c 5.0447
_cell_angle_alpha 90.00
_cell_angle_beta 90.00
_cell_angle_gamma 120.00
_space_group_name_H-M_alt 'P 3 m 1'
_space_group_IT_number 156
loop_
_space_group_symop_operation_xyz
'x,y,z'
'-y,x-y,z'
'-x+y,-x,z'
'-y,-x,z'
'-x+y,y,z'
'x,x-y,z'
loop_
_atom_site_label
_atom_site_fract_x
_atom_site_fract_y
_atom_site_fract_z
_atom_site_occupancy
U1 0.0000 0.0000 0.0000 1
C1 0.6667 0.3333 0.8483 1
F1 0.3333 0.6667 0.2434 1
# * E_form (uncorrected): -2.99 eV/f.u.
# * relative energy among the computed polymorphs: 543 meV/atom
# * DFT total energy: -25.4 eV for the cell shown

---

2.
# UCF (GGA-PBE, optimized geometry)
data_UCF
_cell_length_a 3.288
_cell_length_b 3.288
_cell_length_c 9.824
_cell_angle_alpha 90.00
_cell_angle_beta 90.00
_cell_angle_gamma 90.00
_space_group_name_H-M_alt 'I 4 m m'
_space_group_IT_number 107
_space_group_name_Hall 'I 4 -2'
loop_
_atom_site_label
_atom_site_fract_x
_atom_site_fract_y
_atom_site_fract_z
_atom_site_occupancy
U1 0.000 0.000 0.000 1
C1 0.000 0.000 0.509 1
F1 0.000 0.000 0.214 1
# * E_form (uncorrected): -2.78 eV/f.u.
# * relative energy among the computed polymorphs: 613 meV/atom
# * DFT total energy: -50.3 eV for the cell shown

---

Q: Number 2 is which compound?
A: UCF

---

Q: Among the records above, which one has the highest DFT total energy?
A: number 1

---

Repeat the second record exactly.
# UCF (GGA-PBE, optimized geometry)
data_UCF
_cell_length_a 3.288
_cell_length_b 3.288
_cell_length_c 9.824
_cell_angle_alpha 90.00
_cell_angle_beta 90.00
_cell_angle_gamma 90.00
_space_group_name_H-M_alt 'I 4 m m'
_space_group_IT_number 107
_space_group_name_Hall 'I 4 -2'
loop_
_atom_site_label
_atom_site_fract_x
_atom_site_fract_y
_atom_site_fract_z
_atom_site_occupancy
U1 0.000 0.000 0.000 1
C1 0.000 0.000 0.509 1
F1 0.000 0.000 0.214 1
# * E_form (uncorrected): -2.78 eV/f.u.
# * relative energy among the computed polymorphs: 613 meV/atom
# * DFT total energy: -50.3 eV for the cell shown

---

Q: Which of these has the highest relative energy among the computed polymorphs?
A: number 2